## La2ZnGa6Au (GGA-PBE)

Data for a geometry-optimized La2ZnGa6Au structure.

Cell lengths 12.6356, 12.6356, 12.6356 Å; angles 29.75, 29.75, 29.75 degrees
Atoms (fractional coordinates):
La  0.1089  0.1089  0.1089
La  0.2862  0.2862  0.2862
La  0.7138  0.7138  0.7138
La  0.8911  0.8911  0.8911
Zn  0.4278  0.4278  0.4278
Zn  0.5722  0.5722  0.5722
Ga  0.0589  0.6690  0.6690
Ga  0.2327  0.2327  0.6455
Ga  0.2327  0.6455  0.2327
Ga  0.3310  0.3310  0.9411
Ga  0.3310  0.9411  0.3310
Ga  0.3545  0.7673  0.7673
Ga  0.6455  0.2327  0.2327
Ga  0.6690  0.0589  0.6690
Ga  0.6690  0.6690  0.0589
Ga  0.7673  0.3545  0.7673
Ga  0.7673  0.7673  0.3545
Ga  0.9411  0.3310  0.3310
Au  0.0000  0.0000  0.0000
Au  0.5000  0.5000  0.5000

Values from the calculation:
energy of formation = -0.36 eV per atom
final energy = -72.343 eV per cell


## CsNa2Hg8 (GGA-PBE)

Data for a geometry-optimized CsNa2Hg8 structure.

Cell lengths 4.6600, 4.6600, 15.6000 Å; angles 90.00, 90.00, 90.00 degrees
Atoms (fractional coordinates):
Cs  0.0000  0.0000  0.0000
Na  0.0000  0.0000  0.3500
Na  0.0000  0.0000  0.6500
Hg  0.0000  0.5000  0.1959
Hg  0.0000  0.5000  0.5000
Hg  0.0000  0.5000  0.8041
Hg  0.5000  0.0000  0.1959
Hg  0.5000  0.0000  0.5000
Hg  0.5000  0.0000  0.8041
Hg  0.5000  0.5000  0.3541
Hg  0.5000  0.5000  0.6459

Values from the calculation:
energy of formation = -0.19 eV per atom
final energy = -8.011 eV per cell


## Mg6NbB (GGA-PBE)

Data for a geometry-optimized Mg6NbB structure.

Cell lengths 4.6610, 5.6091, 11.3429 Å; angles 90.00, 90.00, 90.00 degrees
Atoms (fractional coordinates):
Mg  0.0000  0.0000  0.0000
Mg  0.0000  0.0000  0.4668
Mg  0.0000  0.2474  0.7473
Mg  0.0000  0.2526  0.2473
Mg  0.0000  0.5000  0.5000
Mg  0.0000  0.5000  0.9668
Mg  0.0000  0.7474  0.2473
Mg  0.0000  0.7526  0.7473
Mg  0.5000  0.2492  0.5987
Mg  0.5000  0.2508  0.0987
Mg  0.5000  0.7492  0.0987
Mg  0.5000  0.7508  0.5987
Nb  0.5000  0.0000  0.8507
Nb  0.5000  0.5000  0.3507
B  0.5000  0.0000  0.3301
B  0.5000  0.5000  0.8301

Values from the calculation:
energy of formation = 0.43 eV per atom
final energy = -45.804 eV per cell
relative energy among the computed polymorphs = 229 meV/atom


## Rb2AgI4 (GGA-PBE)

Data for a geometry-optimized Rb2AgI4 structure.

Cell lengths 8.9503, 6.8917, 10.8094 Å; angles 90.00, 107.19, 90.00 degrees
Atoms (fractional coordinates):
Rb  0.2109  0.2500  0.4284
Rb  0.2412  0.2500  0.9373
Rb  0.7588  0.7500  0.0627
Rb  0.7891  0.7500  0.5716
Ag  0.2329  0.7500  0.1845
Ag  0.7671  0.2500  0.8155
I  0.0752  0.7500  0.3735
I  0.0956  0.7500  0.9172
I  0.4973  0.5079  0.7394
I  0.4973  0.9921  0.7394
I  0.5027  0.0079  0.2606
I  0.5027  0.4921  0.2606
I  0.9044  0.2500  0.0828
I  0.9248  0.2500  0.6265

Values from the calculation:
final energy = -34.651 eV per cell
relative energy among the computed polymorphs = 7 meV/atom
ΔE_f (raw) = -0.91 eV per atom


## BaMn4Ag (GGA-PBE)

Data for a geometry-optimized BaMn4Ag structure.

Cell lengths 5.5423, 5.5423, 5.5423 Å; angles 60.00, 60.00, 60.00 degrees
Atoms (fractional coordinates):
Ba  0.0000  0.0000  0.0000
Mn  0.1320  0.6227  0.6227
Mn  0.6227  0.1320  0.6227
Mn  0.6227  0.6227  0.1320
Mn  0.6227  0.6227  0.6227
Ag  0.2500  0.2500  0.2500

Values from the calculation:
energy of formation = 0.65 eV per atom
final energy = -37.539 eV per cell


## Sr2HOsO6 (GGA-PBE)

Data for a geometry-optimized Sr2HOsO6 structure.

Cell lengths 5.2155, 5.7609, 6.0445 Å; angles 94.68, 115.51, 115.53 degrees
Atoms (fractional coordinates):
Sr  0.0000  0.0000  0.0000
Sr  0.0219  0.5795  0.4871
H  0.2084  0.5726  0.0558
Os  0.5238  0.2849  0.7502
O  0.0332  0.5656  0.0836
O  0.1053  0.0638  0.4611
O  0.4550  0.9875  0.8926
O  0.4629  0.4402  0.9874
O  0.5852  0.5788  0.6123
O  0.7565  0.1999  0.6410

Values from the calculation:
final energy = -66.094 eV per cell


## Ce2BeP3Ir4 (GGA-PBE)

Data for a geometry-optimized Ce2BeP3Ir4 structure.

Cell lengths 4.0602, 4.0602, 9.7900 Å; angles 90.00, 90.00, 90.00 degrees
Atoms (fractional coordinates):
Ce  0.0000  0.5000  0.2408
Ce  0.5000  0.0000  0.7592
Be  0.5000  0.5000  0.0000
P  0.0000  0.0000  0.0000
P  0.0000  0.5000  0.6400
P  0.5000  0.0000  0.3600
Ir  0.0000  0.0000  0.5000
Ir  0.0000  0.5000  0.8787
Ir  0.5000  0.0000  0.1213
Ir  0.5000  0.5000  0.5000

Values from the calculation:
energy of formation = -0.98 eV per atom
final energy = -77.058 eV per cell


## Pm8YSb6 (GGA-PBE)

Data for a geometry-optimized Pm8YSb6 structure.

Cell lengths 9.7894, 9.7894, 9.7894 Å; angles 49.15, 49.15, 49.15 degrees
Atoms (fractional coordinates):
Pm  0.0411  0.3798  0.7150
Pm  0.1667  0.1667  0.1667
Pm  0.2850  0.9589  0.6202
Pm  0.3798  0.7150  0.0411
Pm  0.6202  0.2850  0.9589
Pm  0.7150  0.0411  0.3798
Pm  0.8333  0.8333  0.8333
Pm  0.9589  0.6202  0.2850
Y  0.5000  0.5000  0.5000
Sb  0.1052  0.7627  0.4329
Sb  0.2373  0.5671  0.8948
Sb  0.4329  0.1052  0.7627
Sb  0.5671  0.8948  0.2372
Sb  0.7628  0.4329  0.1052
Sb  0.8948  0.2373  0.5671

Values from the calculation:
final energy = -81.431 eV per cell
ΔE_f (raw) = -0.82 eV per atom


Which value of final energy does entry 7 give?
-77.058 eV per cell


What is the formula in the sixth record?
Sr2HOsO6


Please write out number 1 again, unchanged.
## La2ZnGa6Au (GGA-PBE)

Data for a geometry-optimized La2ZnGa6Au structure.

Cell lengths 12.6356, 12.6356, 12.6356 Å; angles 29.75, 29.75, 29.75 degrees
Atoms (fractional coordinates):
La  0.1089  0.1089  0.1089
La  0.2862  0.2862  0.2862
La  0.7138  0.7138  0.7138
La  0.8911  0.8911  0.8911
Zn  0.4278  0.4278  0.4278
Zn  0.5722  0.5722  0.5722
Ga  0.0589  0.6690  0.6690
Ga  0.2327  0.2327  0.6455
Ga  0.2327  0.6455  0.2327
Ga  0.3310  0.3310  0.9411
Ga  0.3310  0.9411  0.3310
Ga  0.3545  0.7673  0.7673
Ga  0.6455  0.2327  0.2327
Ga  0.6690  0.0589  0.6690
Ga  0.6690  0.6690  0.0589
Ga  0.7673  0.3545  0.7673
Ga  0.7673  0.7673  0.3545
Ga  0.9411  0.3310  0.3310
Au  0.0000  0.0000  0.0000
Au  0.5000  0.5000  0.5000

Values from the calculation:
energy of formation = -0.36 eV per atom
final energy = -72.343 eV per cell